{"formula": "TbPmIrBr", "functional": "PBE", "state": "relaxed", "cell": [[-2.426, -1.252, 3.057], [4.073, -0.094, 0.446], [0.113, 8.082, 0.653]], "species": ["Br", "Tb", "Ir", "Pm"], "fractional_positions": [[0.964, 0.380, 0.358], [0.097, 0.946, 0.059], [0.307, 0.551, 0.874], [0.510, 0.153, 0.678]], "spacegroup": "No. 160", "magmom_total_mub_per_cell": 0.00, "mass_density_g_cm3": 8.479, "dos_at_fermi_per_ev_atom": 0.229, "formation_energy_uncorrected_ev_per_atom": -1.089}

***

{"formula": "Pm8TcIr3Br4", "functional": "PBE", "state": "relaxed", "cell": [[8.207, 0.000, 0.000], [0.000, 9.109, 0.625], [-4.103, -4.102, 5.809]], "species": ["Pm", "Pm", "Pm", "Pm", "Pm", "Pm", "Pm", "Pm", "Br", "Br", "Br", "Br", "Ir", "Ir", "Ir", "Tc"], "fractional_positions": [[0.230, 0.699, 0.969], [0.731, 0.693, 0.462], [0.739, 0.699, 0.969], [0.770, 0.301, 0.031], [0.770, 0.302, 0.540], [0.261, 0.301, 0.031], [0.269, 0.307, 0.538], [0.230, 0.698, 0.460], [0.000, 0.000, 0.500], [0.500, 0.000, 0.000], [0.500, 0.000, 0.500], [0.000, 0.000, 0.000], [0.500, 0.500, 0.500], [0.000, 0.500, 0.500], [0.500, 0.500, 0.000], [0.000, 0.500, 0.000]], "spacegroup": "No. 166", "magmom_total_mub_per_cell": 0.00, "mass_density_g_cm3": 7.857, "dos_at_fermi_per_ev_atom": 0.370, "formation_energy_uncorrected_ev_per_atom": -0.929}

***

{"formula": "Pm4Te2IrBr", "functional": "PBE", "state": "relaxed", "cell": [[4.236, 0.000, 0.000], [0.000, 7.727, -0.274], [0.000, 2.610, 7.202]], "species": ["Pm", "Pm", "Pm", "Pm", "Te", "Te", "Br", "Ir"], "fractional_positions": [[0.500, 0.291, 0.709], [0.000, 0.265, 0.269], [0.000, 0.735, 0.731], [0.500, 0.709, 0.291], [0.500, 0.000, 0.500], [0.000, 0.000, 0.000], [0.500, 0.500, 0.000], [0.000, 0.500, 0.500]], "spacegroup": "No. 10", "magmom_total_mub_per_cell": 0.00, "mass_density_g_cm3": 7.702, "dos_at_fermi_per_ev_atom": 0.684, "formation_energy_uncorrected_ev_per_atom": -1.192}